1.
## La4Zr (PBE-GGA)

Data for La4Zr after structural relaxation.

Unit cell a=8.945 b=8.945 c=8.945 alpha=150.63 beta=150.63 gamma=42.02
Atoms (fractional coordinates):
La1 0.250 0.750 0.500
La2 0.590 0.590 0.000
La3 0.410 0.410 0.000
La4 0.750 0.250 0.500
Zr1 0.000 0.000 0.000

Properties
- space group = I4/mmm, No. 139
- DFT total energy (eV for the cell shown) = -25.55
- D(E_F) (states/eV/cell) = 8.816
- mass density (kg/m3) = 6255

2.
## Li2CdFe (PBE-GGA)

Data for Li2CdFe after structural relaxation.

Unit cell a=2.720 b=4.180 c=5.670 alpha=90.00 beta=90.00 gamma=90.00
Atoms (fractional coordinates):
Cd1 0.000 0.000 0.511
Fe1 0.500 0.500 0.749
Li1 0.000 0.000 0.993
Li2 0.500 0.500 0.247

Properties
- space group = Pmm2, No. 25
- DFT total energy (eV for the cell shown) = -12.52
- D(E_F) (states/eV/cell) = 2.553
- mass density (kg/m3) = 4691

Question: Among the records above, which one has the lowest mass density?
Answer: Li2CdFe

Question: DFT total energy of number 2 (Li2CdFe)?
Answer: -12.52 eV for the cell shown